Entry a
Density functional theory data (PBE) for a relaxed KMgP2Cl crystal.

abc: 5.959 5.959 5.483
angles: 90.00 90.00 90.00
Atoms (fractional coordinates):
K (0.000, 0.000, 0.000)
Mg (0.500, 0.500, 0.500)
P (0.000, 0.500, 0.000)
P (0.500, 0.000, 0.000)
Cl (0.000, 0.000, 0.500)

***

Entry b
Density functional theory data (PBE) for a relaxed KMgP2Cl crystal.

abc: 4.962 4.962 5.477
angles: 90.00 90.00 90.00
Atoms (fractional coordinates):
K (0.000, 0.000, 0.000)
Mg (0.500, 0.500, 0.500)
P (0.000, 0.500, 0.500)
P (0.500, 0.000, 0.500)
Cl (0.500, 0.500, 0.000)

***

Entry c
Density functional theory data (PBE) for a relaxed KMgP2Cl crystal.

abc: 6.115 6.115 7.391
angles: 90.00 90.00 90.00
Atoms (fractional coordinates):
K (0.000, 0.000, 0.000)
Mg (0.000, 0.000, 0.500)
P (0.000, 0.500, 0.000)
P (0.500, 0.000, 0.000)
Cl (0.500, 0.500, 0.500)

***

Q: What are the energies relative to the best structure? A: entry a 1.082; entry b 0.000; entry c 1.416, in eV/atom.

***

Entry a
Density functional theory data (PBE) for a relaxed KMgSCl2 crystal.

abc: 5.472 5.472 5.634
angles: 90.00 90.00 90.00
Atoms (fractional coordinates):
K (0.000, 0.000, 0.000)
Mg (0.500, 0.500, 0.500)
S (0.000, 0.000, 0.500)
Cl (0.000, 0.500, 0.000)
Cl (0.500, 0.000, 0.000)

***

Entry b
Density functional theory data (PBE) for a relaxed KMgSCl2 crystal.

abc: 5.095 5.095 4.973
angles: 90.00 90.00 90.00
Atoms (fractional coordinates):
K (0.000, 0.000, 0.000)
Mg (0.500, 0.500, 0.500)
S (0.500, 0.500, 0.000)
Cl (0.000, 0.500, 0.500)
Cl (0.500, 0.000, 0.500)

***

Q: What are the energies relative to the best structure? A: entry a 1.164; entry b 0.000, in eV/atom.

***

Entry a
Density functional theory data (PBE) for a relaxed K2MnCl crystal.

abc: 10.153 10.153 3.963
angles: 101.07 101.07 21.65
Atoms (fractional coordinates):
K (0.000, 0.000, 0.000)
K (0.203, 0.203, 0.709)
Mn (0.835, 0.835, 0.341)
Cl (0.575, 0.575, 0.574)

***

Entry b
Density functional theory data (PBE) for a relaxed K2MnCl crystal.

abc: 4.106 4.106 10.331
angles: 101.01 101.01 59.44
Atoms (fractional coordinates):
K (0.232, 0.232, 0.200)
K (0.768, 0.768, 0.800)
Mn (0.000, 0.000, 0.500)
Cl (0.500, 0.500, 0.000)

***

Q: What are the energies relative to the best structure? A: entry a 0.018; entry b 0.000, in eV/atom.

***

Entry a
Density functional theory data (PBE) for a relaxed K2MnCl crystal.

abc: 4.018 4.018 10.355
angles: 90.00 90.00 90.00
Atoms (fractional coordinates):
K (0.000, 0.000, 0.000)
K (0.500, 0.500, 0.405)
Mn (0.000, 0.000, 0.639)
Cl (0.500, 0.500, 0.111)

***

Entry b
Density functional theory data (PBE) for a relaxed K2MnCl crystal.

abc: 5.904 5.904 5.904
angles: 60.00 60.00 60.00
Atoms (fractional coordinates):
K (0.250, 0.250, 0.250)
K (0.750, 0.750, 0.750)
Mn (0.000, 0.000, 0.000)
Cl (0.500, 0.500, 0.500)

***

Entry c
Density functional theory data (PBE) for a relaxed K2MnCl crystal.

abc: 5.909 5.909 5.909
angles: 60.00 60.00 60.00
Atoms (fractional coordinates):
K (0.000, 0.000, 0.000)
K (0.250, 0.250, 0.250)
Mn (0.500, 0.500, 0.500)
Cl (0.750, 0.750, 0.750)

***

Entry d
Density functional theory data (PBE) for a relaxed K2MnCl crystal.

abc: 7.584 7.584 7.584
angles: 143.95 143.95 51.90
Atoms (fractional coordinates):
K (0.000, 0.000, 0.000)
K (0.750, 0.250, 0.500)
Mn (0.250, 0.750, 0.500)
Cl (0.500, 0.500, 0.000)

***

Q: What are the energies relative to the best structure? A: entry a 0.000; entry b 0.183; entry c 0.346; entry d 0.119, in eV/atom.

***

Entry a
Density functional theory data (PBE) for a relaxed KMn3Cl crystal.

abc: 6.217 6.217 6.217
angles: 90.00 90.00 90.00
Atoms (fractional coordinates):
K (0.000, 0.000, 0.000)
Mn (0.000, 0.000, 0.500)
Mn (0.000, 0.500, 0.000)
Mn (0.500, 0.000, 0.000)
Cl (0.500, 0.500, 0.500)

***

Entry b
Density functional theory data (PBE) for a relaxed KMn3Cl crystal.

abc: 4.655 4.655 4.655
angles: 90.00 90.00 90.00
Atoms (fractional coordinates):
K (0.000, 0.000, 0.000)
Mn (0.000, 0.500, 0.500)
Mn (0.500, 0.000, 0.500)
Mn (0.500, 0.500, 0.000)
Cl (0.500, 0.500, 0.500)

***

Q: What are the energies relative to the best structure? A: entry a 0.825; entry b 0.000, in eV/atom.

***

Entry a
Density functional theory data (PBE) for a relaxed KMnCl4 crystal.

abc: 6.912 6.912 8.284
angles: 90.00 90.00 90.00
Atoms (fractional coordinates):
K (0.250, 0.750, 0.250)
K (0.750, 0.250, 0.750)
Mn (0.250, 0.750, 0.750)
Mn (0.750, 0.250, 0.250)
Cl (0.001, 0.250, 0.082)
Cl (0.250, 0.001, 0.582)
Cl (0.250, 0.499, 0.582)
Cl (0.499, 0.250, 0.082)
Cl (0.501, 0.750, 0.918)
Cl (0.750, 0.501, 0.418)
Cl (0.750, 0.999, 0.418)
Cl (0.999, 0.750, 0.918)

***

Entry b
Density functional theory data (PBE) for a relaxed KMnCl4 crystal.

abc: 6.144 6.144 6.144
angles: 60.00 60.00 60.00
Atoms (fractional coordinates):
K (0.000, 0.000, 0.000)
Mn (0.750, 0.750, 0.750)
Cl (0.375, 0.375, 0.375)
Cl (0.375, 0.375, 0.874)
Cl (0.375, 0.874, 0.375)
Cl (0.874, 0.375, 0.375)

***

Q: What are the energies relative to the best structure? A: entry a 0.000; entry b 1.236, in eV/atom.

***

Entry a
Density functional theory data (PBE) for a relaxed KMnSCl2 crystal.

abc: 5.070 5.070 4.595
angles: 90.00 90.00 90.00
Atoms (fractional coordinates):
K (0.000, 0.000, 0.000)
Mn (0.500, 0.500, 0.500)
S (0.500, 0.500, 0.000)
Cl (0.000, 0.500, 0.500)
Cl (0.500, 0.000, 0.500)

***

Entry b
Density functional theory data (PBE) for a relaxed KMnSCl2 crystal.

abc: 5.456 5.456 5.618
angles: 90.00 90.00 90.00
Atoms (fractional coordinates):
K (0.000, 0.000, 0.000)
Mn (0.500, 0.500, 0.500)
S (0.000, 0.000, 0.500)
Cl (0.000, 0.500, 0.000)
Cl (0.500, 0.000, 0.000)

***

Q: What are the energies relative to the best structure? A: entry a 0.000; entry b 1.358, in eV/atom.

***

Entry a
Density functional theory data (PBE) for a relaxed K2MoCl crystal.

abc: 6.012 6.012 3.898
angles: 90.00 90.00 90.00
Atoms (fractional coordinates):
K (0.000, 0.500, 0.000)
K (0.500, 0.000, 0.000)
Mo (0.000, 0.000, 0.500)
Cl (0.500, 0.500, 0.500)

***

Entry b
Density functional theory data (PBE) for a relaxed K2MoCl crystal.

abc: 6.016 6.016 6.016
angles: 60.00 60.00 60.00
Atoms (fractional coordinates):
K (0.250, 0.250, 0.250)
K (0.750, 0.750, 0.750)
Mo (0.000, 0.000, 0.000)
Cl (0.500, 0.500, 0.500)

***

Entry c
Density functional theory data (PBE) for a relaxed K2MoCl crystal.

abc: 4.010 4.010 10.318
angles: 100.72 100.72 59.42
Atoms (fractional coordinates):
K (0.233, 0.233, 0.203)
K (0.767, 0.767, 0.797)
Mo (0.000, 0.000, 0.500)
Cl (0.500, 0.500, 0.000)

***

Q: What are the energies relative to the best structure? A: entry a 0.131; entry b 0.219; entry c 0.000, in eV/atom.

***

Entry a
Density functional theory data (PBE) for a relaxed K2MoCl crystal.

abc: 3.833 3.841 9.871
angles: 90.00 90.00 90.00
Atoms (fractional coordinates):
K (0.000, 0.000, 0.000)
K (0.500, 0.000, 0.406)
Mo (0.000, 0.500, 0.673)
Cl (0.500, 0.500, 0.156)

***

Entry b
Density functional theory data (PBE) for a relaxed K2MoCl crystal.

abc: 3.702 3.702 9.331
angles: 90.00 90.00 90.00
Atoms (fractional coordinates):
K (0.000, 0.000, 0.204)
K (0.000, 0.000, 0.796)
Mo (0.500, 0.500, 0.500)
Cl (0.500, 0.500, 0.000)

***

Entry c
Density functional theory data (PBE) for a relaxed K2MoCl crystal.

abc: 9.905 9.905 3.681
angles: 90.00 90.00 20.99
Atoms (fractional coordinates):
K (0.000, 0.000, 0.000)
K (0.197, 0.197, 0.001)
Mo (0.357, 0.357, 0.499)
Cl (0.601, 0.601, 0.501)

***

Q: What are the energies relative to the best structure? A: entry a 0.062; entry b 0.000; entry c 0.032, in eV/atom.

***

Entry a
Density functional theory data (PBE) for a relaxed KMoCl2 crystal.

abc: 7.847 7.847 7.847
angles: 149.72 149.72 43.35
Atoms (fractional coordinates):
K (0.000, 0.000, 0.000)
Mo (0.250, 0.750, 0.500)
Cl (0.500, 0.500, 0.000)
Cl (0.750, 0.250, 0.500)

***

Entry b
Density functional theory data (PBE) for a relaxed KMoCl2 crystal.

abc: 6.731 6.731 6.731
angles: 34.65 34.65 34.65
Atoms (fractional coordinates):
K (0.000, 0.000, 0.000)
Mo (0.500, 0.500, 0.500)
Cl (0.226, 0.226, 0.226)
Cl (0.774, 0.774, 0.774)

***

Entry c
Density functional theory data (PBE) for a relaxed KMoCl2 crystal.

abc: 5.195 5.195 5.195
angles: 60.00 60.00 60.00
Atoms (fractional coordinates):
K (0.000, 0.000, 0.000)
Mo (0.500, 0.500, 0.500)
Cl (0.250, 0.250, 0.250)
Cl (0.750, 0.750, 0.750)

***

Entry d
Density functional theory data (PBE) for a relaxed KMoCl2 crystal.

abc: 5.936 5.936 5.936
angles: 143.62 112.04 79.61
Atoms (fractional coordinates):
K (0.000, 0.000, 0.000)
Mo (0.500, 0.500, 0.000)
Cl (0.318, 0.818, 0.500)
Cl (0.682, 0.182, 0.500)

***

Q: What are the energies relative to the best structure? A: entry a 0.169; entry b 0.116; entry c 0.194; entry d 0.000, in eV/atom.